No. 1
Computed, not measured: BaLi2Pb after structural relaxation at the PBE level of DFT.

Structure (CIF):
```
data_BaLi2Pb
_symmetry_space_group_name_H-M 'I 41/a m d'
_symmetry_Int_Tables_number 141
_cell_length_a 5.3859
_cell_length_b 5.3859
_cell_length_c 18.9017
_cell_angle_alpha 90.00
_cell_angle_beta 90.00
_cell_angle_gamma 90.00
loop_
_symmetry_equiv_pos_as_xyz
'x,y,z'
'-x,-y,-z'
'-y+1/4,x+3/4,z+1/4'
'y+1/4,-x+3/4,-z+1/4'
'-x+1/2,-y,z+1/2'
'x+1/2,y,-z+1/2'
'y+1/4,-x+1/4,z+3/4'
'-y+1/4,x+1/4,-z+3/4'
'x,-y,-z'
'-x,y,z'
'-y+1/4,-x+1/4,-z+3/4'
'y+1/4,x+1/4,z+3/4'
'-x+1/2,y,-z+1/2'
'x+1/2,-y,z+1/2'
'y+1/4,x+3/4,-z+1/4'
'-y+1/4,-x+3/4,z+1/4'
'x+1/2,y+1/2,z+1/2'
'-x+1/2,-y+1/2,-z+1/2'
'-y+3/4,x+1/4,z+3/4'
'y+3/4,-x+1/4,-z+3/4'
'-x,-y+1/2,z'
'x,y+1/2,-z'
'y+3/4,-x+3/4,z+1/4'
'-y+3/4,x+3/4,-z+1/4'
'x+1/2,-y+1/2,-z+1/2'
'-x+1/2,y+1/2,z+1/2'
'-y+3/4,-x+3/4,-z+1/4'
'y+3/4,x+3/4,z+1/4'
'-x,y+1/2,-z'
'x,-y+1/2,z'
'y+3/4,x+1/4,-z+3/4'
'-y+3/4,-x+1/4,z+3/4'
loop_
_atom_site_label
_atom_site_type_symbol
_atom_site_fract_x
_atom_site_fract_y
_atom_site_fract_z
Ba1 Ba 0.0000 0.2500 0.3750
Li1 Li 0.0000 0.0000 0.0000
Pb1 Pb 0.0000 0.2500 0.8750
```

Summary:
The calculation puts the volume at 34.27 Å³/atom. Its calculated formation energy is -0.200 eV per atom. As for the raw total energy: -2.565 eV/atom.

=====

No. 2
Computed, not measured: Ba2LiPb8 after structural relaxation at the PBE level of DFT.

Structure (CIF):
```
data_Ba2LiPb8
_symmetry_space_group_name_H-M 'P 4/m m m'
_symmetry_Int_Tables_number 123
_symmetry_space_group_name_Hall '-P 4 2'
_cell_length_a 5.1339
_cell_length_b 5.1339
_cell_length_c 13.5044
_cell_angle_alpha 90.00
_cell_angle_beta 90.00
_cell_angle_gamma 90.00
loop_
_atom_site_label
_atom_site_type_symbol
_atom_site_fract_x
_atom_site_fract_y
_atom_site_fract_z
Ba1 Ba 0.0000 0.0000 0.1902
Li1 Li 0.0000 0.0000 0.5000
Pb1 Pb 0.0000 0.5000 0.0000
Pb2 Pb 0.0000 0.5000 0.3794
Pb3 Pb 0.5000 0.5000 0.1941
```

Summary:
The calculation puts the volume at 32.36 Å³/atom. Its calculated formation energy is -0.284 eV per atom. As for the raw total energy: -3.504 eV/atom.

=====

No. 3
Computed, not measured: BaLi6Pb2 after structural relaxation at the PBE level of DFT.

Structure (CIF):
```
data_BaLi6Pb2
_symmetry_space_group_name_H-M 'P 4/m m m'
_symmetry_Int_Tables_number 123
_symmetry_space_group_name_Hall '-P 4 2'
_cell_length_a 5.0097
_cell_length_b 5.0097
_cell_length_c 9.0383
_cell_angle_alpha 90.00
_cell_angle_beta 90.00
_cell_angle_gamma 90.00
loop_
_atom_site_label
_atom_site_type_symbol
_atom_site_fract_x
_atom_site_fract_y
_atom_site_fract_z
Ba1 Ba 0.0000 0.0000 0.0000
Li1 Li 0.0000 0.0000 0.5000
Li2 Li 0.0000 0.5000 0.3167
Li3 Li 0.5000 0.5000 0.5000
Pb1 Pb 0.5000 0.5000 0.1744
```

Summary:
The calculation puts the volume at 25.20 Å³/atom. Its calculated formation energy is -0.238 eV per atom. As for the raw total energy: -2.552 eV/atom.

=====

No. 4
Computed, not measured: Ba5Li2Pb12 after structural relaxation at the PBE level of DFT.

Structure (CIF):
```
data_Ba5Li2Pb12
_symmetry_space_group_name_H-M 'C 1 2/m 1'
_symmetry_Int_Tables_number 12
_symmetry_space_group_name_Hall '-C 2y'
_cell_length_a 21.4072
_cell_length_b 8.1591
_cell_length_c 7.9705
_cell_angle_alpha 90.00
_cell_angle_beta 105.16
_cell_angle_gamma 90.00
loop_
_atom_site_label
_atom_site_type_symbol
_atom_site_fract_x
_atom_site_fract_y
_atom_site_fract_z
Ba1 Ba 0.0000 0.0000 0.0000
Ba2 Ba 0.1807 0.5000 0.5563
Ba3 Ba 0.2362 0.0000 0.8918
Li1 Li 0.0000 0.3015 0.5000
Pb1 Pb 0.0352 0.5000 0.1953
Pb2 Pb 0.0829 0.0000 0.5162
Pb3 Pb 0.1030 0.2941 0.8406
Pb4 Pb 0.1604 0.1886 0.2354
```

Summary:
The calculation puts the volume at 35.36 Å³/atom. Its calculated formation energy is -0.340 eV per atom. As for the raw total energy: -3.389 eV/atom.

=====

No. 5
Computed, not measured: BaLi2Pb after structural relaxation at the PBE level of DFT.

Structure (CIF):
```
data_BaLi2Pb
_symmetry_space_group_name_H-M 'P 1 m 1'
_symmetry_Int_Tables_number 6
_symmetry_space_group_name_Hall 'P -2y'
_cell_length_a 4.0796
_cell_length_b 5.0439
_cell_length_c 6.6496
_cell_angle_alpha 90.00
_cell_angle_beta 107.68
_cell_angle_gamma 90.00
loop_
_atom_site_label
_atom_site_type_symbol
_atom_site_fract_x
_atom_site_fract_y
_atom_site_fract_z
Ba1 Ba 0.0000 0.0000 0.0000
Li1 Li 0.2775 0.0000 0.5484
Li2 Li 0.7109 0.5000 0.4161
Pb1 Pb 0.3745 0.5000 0.7470
```

Summary:
The calculation puts the volume at 32.59 Å³/atom. Its calculated formation energy is -0.225 eV per atom. As for the raw total energy: -2.590 eV/atom.

=====

No. 6
Computed, not measured: BaLiPb2 after structural relaxation at the PBE level of DFT.

Structure (CIF):
```
data_BaLiPb2
_symmetry_space_group_name_H-M 'R 3 m'
_symmetry_Int_Tables_number 160
_symmetry_space_group_name_Hall 'R 3 -2"'
_cell_length_a 3.8196
_cell_length_b 3.8196
_cell_length_c 32.3402
_cell_angle_alpha 90.00
_cell_angle_beta 90.00
_cell_angle_gamma 120.00
loop_
_atom_site_label
_atom_site_type_symbol
_atom_site_fract_x
_atom_site_fract_y
_atom_site_fract_z
Ba1 Ba 0.0000 0.0000 0.0000
Li1 Li 0.0000 0.0000 0.7645
Pb1 Pb 0.0000 0.0000 0.2422
Pb2 Pb 0.0000 0.0000 0.4974
```

Summary:
The calculation puts the volume at 34.05 Å³/atom. Its calculated formation energy is 0.025 eV per atom. As for the raw total energy: -2.788 eV/atom.

=====

> What is the formula in the third record?

BaLi6Pb2

=====

> What is the formula in the third record?

BaLi6Pb2

=====

> Among the records above, which one has the highest calculated formation energy?

BaLiPb2